VASP calculation (GGA-PBE) on a relaxed structure of BaLaSe2.

Lattice parameters (Å, degrees): 5.3851 5.3851 5.3851 60.00 60.00 60.00
Atoms (fractional coordinates):
Se  0.0000  0.0000  0.0000
Se  0.2500  0.2500  0.2500
La  0.7500  0.7500  0.7500
Ba  0.5000  0.5000  0.5000

N(E_F) (states/eV/atom): 0.6805
E above lowest polymorph (meV/atom): 1179.2
Space group: F-43m (216)
E_form (uncorrected) (eV/atom): -0.8124